CaGa4CuNi2 after structural relaxation. Source: Alexandria via LeMat-Bulk, functional PBE-GGA.

Summary:
Formation enthalpy at 0 K, kJ/mol of atoms: -32
VASP energy, eV/atom: -4.05
Calculated volume, Å³ per cell: 131.9
Spin magnetization, μB per cell: 0.0

extended XYZ file:
```
8
Lattice="-0.840 -3.932 -0.893 2.705 -2.953 0.961 -3.301 -3.278 8.040" Properties=species:S:1:pos:R:3 pbc="T T T"
Ca 0.000 0.000 0.000
Ga -1.836 -5.361 6.339
Ga 0.343 -7.266 3.177
Ga -1.780 -2.897 4.931
Ga 0.399 -4.801 1.770
Cu -0.718 -5.081 4.054
Ni -0.811 -7.555 5.536
Ni -0.626 -2.607 2.572
```